The following is a PBEsol calculation of an optimized crystal structure of P3Pt, from the Alexandria database.

total magnetic moment: 0.0 μB/cell
calculated formation energy: 0.3276 eV per atom
N(E_F): 2.1 states/eV per cell
ρ: 8.5 g/cm³

Lattice parameters (Å, degrees): 2.960 2.960 6.441 90.00 90.00 90.00
Positions (direct):
Pt  0.500  0.500  0.500
P  0.000  0.000  0.248
P  0.000  0.000  0.752
P  0.500  0.500  0.000

The following is a PBEsol calculation of an optimized crystal structure of P5Pt3, from the Alexandria database.

total magnetic moment: 0.0 μB/cell
calculated formation energy: 0.1876 eV per atom
N(E_F): 2.3 states/eV per cell
ρ: 10.5 g/cm³

Lattice parameters (Å, degrees): 4.318 5.248 5.248 99.42 90.00 90.00
Positions (direct):
P  0.000  0.000  0.500
P  0.500  0.308  0.308
P  0.000  0.500  0.000
P  0.500  0.692  0.692
P  0.000  0.000  0.000
Pt  0.500  0.821  0.179
Pt  0.000  0.500  0.500
Pt  0.500  0.179  0.821

The following is a PBEsol calculation of an optimized crystal structure of P4Pt, from the Alexandria database.

total magnetic moment: 0.0 μB/cell
calculated formation energy: 0.6106 eV per atom
N(E_F): 2.9 states/eV per cell
ρ: 5.9 g/cm³

Lattice parameters (Å, degrees): 4.883 4.883 4.883 109.47 109.47 109.47
Positions (direct):
P  0.000  0.500  0.000
P  0.000  0.000  0.500
P  0.500  0.500  0.500
P  0.500  0.000  0.000
Pt  0.000  0.000  0.000

The following is a PBEsol calculation of an optimized crystal structure of P2Pt5, from the Alexandria database.

total magnetic moment: 0.0 μB/cell
calculated formation energy: -0.4138 eV per atom
N(E_F): 5.9 states/eV per cell
ρ: 16.3 g/cm³

Lattice parameters (Å, degrees): 5.371 6.012 7.424 98.16 90.00 116.53
Positions (direct):
P  0.246  0.682  0.225
P  0.565  0.318  0.275
P  0.435  0.682  0.725
P  0.754  0.318  0.775
Pt  0.846  0.238  0.467
Pt  0.107  0.000  0.250
Pt  0.893  0.000  0.750
Pt  0.630  0.713  0.408
Pt  0.917  0.287  0.092
Pt  0.392  0.238  0.967
Pt  0.370  0.287  0.592
Pt  0.608  0.762  0.033
Pt  0.083  0.713  0.908
Pt  0.154  0.762  0.533

The following is a PBEsol calculation of an optimized crystal structure of RbPPt2, from the Alexandria database.

total magnetic moment: 0.0 μB/cell
calculated formation energy: -0.3326 eV per atom
N(E_F): 3.2 states/eV per cell
ρ: 8.0 g/cm³

Lattice parameters (Å, degrees): 5.387 5.387 8.208 109.16 109.16 90.00
Positions (direct):
Pt  0.125  0.375  0.750
Pt  0.625  0.375  0.250
Pt  0.625  0.875  0.250
Pt  0.625  0.375  0.750
P  0.750  0.250  0.500
P  0.500  0.500  0.000
Rb  0.000  0.000  0.000
Rb  0.250  0.750  0.500

The following is a PBEsol calculation of an optimized crystal structure of Rb2PPt, from the Alexandria database.

total magnetic moment: 0.0 μB/cell
calculated formation energy: -0.3235 eV per atom
N(E_F): 2.6 states/eV per cell
ρ: 3.7 g/cm³

Lattice parameters (Å, degrees): 4.387 9.257 9.257 86.78 76.29 76.29
Positions (direct):
Rb  0.875  0.293  0.207
Rb  0.832  0.793  0.293
Rb  0.918  0.207  0.707
Rb  0.375  0.707  0.793
P  0.250  0.500  0.500
P  0.500  0.000  0.000
Pt  0.750  0.500  0.500
Pt  0.000  0.000  0.000

The following is a PBEsol calculation of an optimized crystal structure of RbPRuPt2, from the Alexandria database.

total magnetic moment: 2.8 μB/cell
calculated formation energy: 2.9827 eV per atom
N(E_F): 7.2 states/eV per cell
ρ: 8.6 g/cm³

Lattice parameters (Å, degrees): 4.841 4.841 5.003 90.00 90.00 90.00
Each line ends with the local moment (μB).
Positions (direct):
Pt  0.000  0.500  0.000  0.09
Pt  0.500  0.000  0.000  0.09
P  0.000  0.000  0.500  -0.04
Ru  0.500  0.500  0.500  2.53
Rb  0.000  0.000  0.000  0.00

The following is a PBEsol calculation of an optimized crystal structure of Re2PPt, from the Alexandria database.

total magnetic moment: 0.0 μB/cell
calculated formation energy: 0.5425 eV per atom
N(E_F): 6.2 states/eV per cell
ρ: 17.1 g/cm³

Lattice parameters (Å, degrees): 4.349 4.349 4.349 60.00 60.00 60.00
Positions (direct):
Pt  0.250  0.250  0.250
Re  0.000  0.000  0.000
Re  0.750  0.750  0.750
P  0.500  0.500  0.500

The following is a PBEsol calculation of an optimized crystal structure of Re2PPt, from the Alexandria database.

total magnetic moment: 0.0 μB/cell
calculated formation energy: 0.3473 eV per atom
N(E_F): 3.8 states/eV per cell
ρ: 17.0 g/cm³

Lattice parameters (Å, degrees): 2.735 2.735 8.796 90.00 90.00 117.53
Positions (direct):
Re  0.000  0.000  0.991
Re  0.500  0.500  0.739
P  0.000  0.000  0.508
Pt  0.500  0.500  0.262

The following is a PBEsol calculation of an optimized crystal structure of RePPtS2, from the Alexandria database.

total magnetic moment: 2.7 μB/cell
N(E_F): 3.7 states/eV per cell
ΔE_f (raw): 1.4406 eV per atom
ρ: 8.3 g/cm³

Lattice parameters (Å, degrees): 4.507 4.604 4.604 90.00 90.00 90.00
Each line ends with the local moment (μB).
Positions (direct):
S  0.000  0.500  0.000  -0.09
S  0.000  0.000  0.500  -0.09
Pt  0.000  0.000  0.000  -0.07
Re  0.500  0.500  0.500  2.84
P  0.500  0.000  0.000  -0.21

The following is a PBEsol calculation of an optimized crystal structure of P2PtRh, from the Alexandria database.

total magnetic moment: 0.0 μB/cell
calculated formation energy: -0.3532 eV per atom
N(E_F): 4.0 states/eV per cell
ρ: 8.3 g/cm³

Lattice parameters (Å, degrees): 5.195 5.195 6.467 113.68 113.68 90.00
Positions (direct):
P  0.125  0.133  0.750
P  0.867  0.375  0.250
P  0.625  0.617  0.750
P  0.383  0.875  0.250
Rh  0.750  0.250  0.500
Rh  0.500  0.500  0.000
Pt  0.000  0.000  0.000
Pt  0.250  0.750  0.500

The following is a PBEsol calculation of an optimized crystal structure of PPt2Rh, from the Alexandria database.

total magnetic moment: 0.0 μB/cell
calculated formation energy: -0.2416 eV per atom
N(E_F): 3.0 states/eV per cell
ρ: 15.0 g/cm³

Lattice parameters (Å, degrees): 2.805 3.946 5.766 110.01 104.08 90.00
Positions (direct):
Rh  0.500  0.000  0.000
Pt  0.685  0.685  0.370
Pt  0.315  0.315  0.630
P  0.000  0.500  0.000

The following is a PBEsol calculation of an optimized crystal structure of PPtRh, from the Alexandria database.

total magnetic moment: 0.0 μB/cell
calculated formation energy: -0.5711 eV per atom
N(E_F): 1.6 states/eV per cell
ρ: 12.7 g/cm³

Lattice parameters (Å, degrees): 3.936 3.936 3.936 60.00 60.00 60.00
Positions (direct):
Rh  0.500  0.500  0.500
Pt  0.000  0.000  0.000
P  0.250  0.250  0.250

The following is a PBEsol calculation of an optimized crystal structure of PPt2Rh, from the Alexandria database.

total magnetic moment: 0.0 μB/cell
calculated formation energy: 0.0899 eV per atom
N(E_F): 6.0 states/eV per cell
ρ: 15.3 g/cm³

Lattice parameters (Å, degrees): 3.792 3.792 4.781 113.36 113.36 90.00
Positions (direct):
Pt  0.250  0.750  0.500
Pt  0.750  0.250  0.500
P  0.000  0.000  0.000
Rh  0.500  0.500  0.000

The following is a PBEsol calculation of an optimized crystal structure of PPt2Rh, from the Alexandria database.

total magnetic moment: 0.0 μB/cell
calculated formation energy: 0.0020 eV per atom
N(E_F): 4.5 states/eV per cell
ρ: 15.5 g/cm³

Lattice parameters (Å, degrees): 2.877 2.877 6.797 90.00 90.00 90.00
Positions (direct):
Pt  0.000  0.000  0.275
Pt  0.000  0.000  0.725
Rh  0.500  0.500  0.000
P  0.500  0.500  0.500

The following is a PBEsol calculation of an optimized crystal structure of PPtRhS2, from the Alexandria database.

total magnetic moment: 0.0 μB/cell
N(E_F): 5.6 states/eV per cell
ΔE_f (raw): 0.8502 eV per atom
ρ: 7.2 g/cm³

Lattice parameters (Å, degrees): 4.360 4.550 4.550 90.00 90.00 90.00
Positions (direct):
Pt  0.500  0.500  0.500
P  0.500  0.000  0.000
S  0.000  0.500  0.000
S  0.000  0.000  0.500
Rh  0.000  0.000  0.000

The following is a PBEsol calculation of an optimized crystal structure of P2RuPt, from the Alexandria database.

total magnetic moment: 0.0 μB/cell
calculated formation energy: -0.1462 eV per atom
N(E_F): 2.4 states/eV per cell
ρ: 9.8 g/cm³

Lattice parameters (Å, degrees): 3.783 3.907 4.092 92.79 90.00 90.00
Positions (direct):
Ru  0.500  0.000  0.000
P  0.000  0.173  0.304
P  0.000  0.827  0.696
Pt  0.500  0.500  0.500

The following is a PBEsol calculation of an optimized crystal structure of PRuPt2, from the Alexandria database.

total magnetic moment: 0.0 μB/cell
calculated formation energy: 0.1709 eV per atom
N(E_F): 5.1 states/eV per cell
ρ: 15.3 g/cm³

Lattice parameters (Å, degrees): 4.311 4.311 4.311 60.00 60.00 60.00
Positions (direct):
P  0.500  0.500  0.500
Ru  0.250  0.250  0.250
Pt  0.750  0.750  0.750
Pt  0.000  0.000  0.000

The following is a PBEsol calculation of an optimized crystal structure of PRuPt, from the Alexandria database.

total magnetic moment: 0.0 μB/cell
calculated formation energy: 0.1327 eV per atom
N(E_F): 1.6 states/eV per cell
ρ: 12.8 g/cm³

Lattice parameters (Å, degrees): 2.833 2.833 6.143 97.18 97.18 117.25
Positions (direct):
P  0.007  0.007  0.014
Pt  0.347  0.347  0.693
Ru  0.647  0.647  0.293

The following is a PBEsol calculation of an optimized crystal structure of PRuPt, from the Alexandria database.

total magnetic moment: 0.0 μB/cell
calculated formation energy: -0.5069 eV per atom
N(E_F): 1.0 states/eV per cell
ρ: 12.8 g/cm³

Lattice parameters (Å, degrees): 3.919 3.919 3.919 60.00 60.00 60.00
Positions (direct):
P  0.750  0.750  0.750
Pt  0.000  0.000  0.000
Ru  0.500  0.500  0.500

The following is a PBEsol calculation of an optimized crystal structure of P2RuPt, from the Alexandria database.

total magnetic moment: 0.0 μB/cell
calculated formation energy: 0.0599 eV per atom
N(E_F): 3.1 states/eV per cell
ρ: 11.0 g/cm³

Lattice parameters (Å, degrees): 3.547 3.547 4.979 110.87 110.87 90.00
Positions (direct):
Pt  0.500  0.500  0.000
P  0.750  0.250  0.500
P  0.000  0.000  0.000
Ru  0.250  0.750  0.500

The following is a PBEsol calculation of an optimized crystal structure of PRuPt2, from the Alexandria database.

total magnetic moment: 0.0 μB/cell
calculated formation energy: 0.0363 eV per atom
N(E_F): 4.6 states/eV per cell
ρ: 15.0 g/cm³

Lattice parameters (Å, degrees): 3.123 3.799 5.060 90.00 106.18 90.00
Positions (direct):
Pt  0.130  0.000  0.268
Pt  0.870  0.000  0.732
Ru  0.500  0.500  0.000
P  0.500  0.500  0.500

The following is a PBEsol calculation of an optimized crystal structure of PRuPt, from the Alexandria database.

total magnetic moment: 0.0 μB/cell
calculated formation energy: -0.1824 eV per atom
N(E_F): 1.9 states/eV per cell
ρ: 13.2 g/cm³

Lattice parameters (Å, degrees): 2.852 2.852 5.843 90.00 90.00 120.00
Positions (direct):
Pt  0.333  0.667  0.690
P  0.000  0.000  0.016
Ru  0.667  0.333  0.295

The following is a PBEsol calculation of an optimized crystal structure of P2RuPt, from the Alexandria database.

total magnetic moment: 0.0 μB/cell
calculated formation energy: -0.2177 eV per atom
N(E_F): 1.7 states/eV per cell
ρ: 11.0 g/cm³

Lattice parameters (Å, degrees): 2.954 4.045 4.951 101.24 90.00 111.42
Positions (direct):
P  0.759  0.517  0.769
P  0.241  0.483  0.231
Pt  0.000  0.000  0.500
Ru  0.500  0.000  0.000

The following is a PBEsol calculation of an optimized crystal structure of P2PtS2, from the Alexandria database.

total magnetic moment: 0.0 μB/cell
N(E_F): 3.1 states/eV per cell
ΔE_f (raw): 1.0002 eV per atom
ρ: 6.5 g/cm³

Lattice parameters (Å, degrees): 4.252 4.386 4.386 90.00 90.00 90.00
Positions (direct):
S  0.000  0.000  0.000
S  0.500  0.000  0.000
P  0.000  0.500  0.000
P  0.000  0.000  0.500
Pt  0.500  0.500  0.500

The following is a PBEsol calculation of an optimized crystal structure of SbP2PtS, from the Alexandria database.

total magnetic moment: 0.0 μB/cell
N(E_F): 5.1 states/eV per cell
ΔE_f (raw): 1.5147 eV per atom
ρ: 6.0 g/cm³

Lattice parameters (Å, degrees): 4.716 4.922 4.922 90.00 90.00 90.00
Positions (direct):
P  0.000  0.500  0.000
P  0.000  0.000  0.500
Pt  0.500  0.500  0.500
S  0.500  0.000  0.000
Sb  0.000  0.000  0.000

The following is a PBEsol calculation of an optimized crystal structure of ScP2PtS, from the Alexandria database.

total magnetic moment: 0.0 μB/cell
N(E_F): 4.1 states/eV per cell
ΔE_f (raw): 0.1252 eV per atom
ρ: 5.5 g/cm³

Lattice parameters (Å, degrees): 4.546 4.546 4.860 90.00 90.00 90.00
Positions (direct):
P  0.500  0.000  0.000
P  0.000  0.500  0.000
Sc  0.500  0.500  0.500
Pt  0.000  0.000  0.000
S  0.000  0.000  0.500

The following is a PBEsol calculation of an optimized crystal structure of SrPPtS2, from the Alexandria database.

total magnetic moment: 1.1 μB/cell
N(E_F): 8.4 states/eV per cell
ΔE_f (raw): 1.4976 eV per atom
ρ: 4.3 g/cm³

Lattice parameters (Å, degrees): 5.232 5.232 5.321 90.00 90.00 90.00
Each line ends with the local moment (μB).
Positions (direct):
P  0.000  0.000  0.500  0.06
S  0.500  0.000  0.000  0.19
S  0.000  0.500  0.000  0.19
Sr  0.000  0.000  0.000  0.00
Pt  0.500  0.500  0.500  0.35

The following is a PBEsol calculation of an optimized crystal structure of TaP2PtS, from the Alexandria database.

total magnetic moment: 0.0 μB/cell
N(E_F): 3.9 states/eV per cell
ΔE_f (raw): 0.7202 eV per atom
ρ: 7.6 g/cm³

Lattice parameters (Å, degrees): 4.536 4.758 4.758 90.00 90.00 90.00
Positions (direct):
Pt  0.500  0.500  0.500
S  0.500  0.000  0.000
Ta  0.000  0.000  0.000
P  0.000  0.000  0.500
P  0.000  0.500  0.000